# Ir2OsBr | Alexandria via LeMat-Bulk | PBE-GGA | relaxed
# - E_tot: -101.0 eV for the cell shown
# - Energy above the lowest structure with this stoichiometry: 735 meV/atom
# - Density of states at the Fermi level: 6.8 states/eV/f.u.
# - Formation energy from raw total energies: 1342 meV per atom
data_Ir2OsBr
_cell_length_a 6.3526
_cell_length_b 6.3526
_cell_length_c 6.3526
_cell_angle_alpha 90.00
_cell_angle_beta 90.00
_cell_angle_gamma 90.00
_space_group_name_H-M_alt 'F m -3 m'
_space_group_IT_number 225
_space_group_name_Hall '-F 4 2 3'
loop_
_atom_site_label
_atom_site_type_symbol
_atom_site_fract_x
_atom_site_fract_y
_atom_site_fract_z
_atom_site_occupancy
Ir1 Ir 0.2500 0.2500 0.2500 1
Os1 Os 0.0000 0.0000 0.0000 1
Br1 Br 0.0000 0.0000 0.5000 1